# NbSn3I (PBE-GGA, relaxed)
data_NbSn3I
_cell_length_a 5.484
_cell_length_b 5.484
_cell_length_c 5.484
_cell_angle_alpha 90.00
_cell_angle_beta 90.00
_cell_angle_gamma 90.00
_space_group_name_H-M_alt 'P 1'
_space_group_IT_number 1
_space_group_name_Hall 'P 1'
loop_
_atom_site_label
_atom_site_fract_x
_atom_site_fract_y
_atom_site_fract_z
Nb1 0.000 0.000 0.000
Sn1 0.000 0.000 0.500
Sn2 0.000 0.500 0.000
Sn3 0.500 0.000 0.000
I1 0.500 0.500 0.500
# formation energy (no corrections)	0.244	eV/atom
# N(E_F)	9.30	states/eV/f.u.
# density	5.8	Mg/m³
# ΔE to the lowest computed polymorph	0	meV/atom

# NbSnI2 (PBE-GGA, relaxed)
data_NbSnI2
_cell_length_a 10.139
_cell_length_b 10.139
_cell_length_c 5.621
_cell_angle_alpha 90.00
_cell_angle_beta 90.00
_cell_angle_gamma 90.00
_space_group_name_H-M_alt 'P 1'
_space_group_IT_number 1
_space_group_name_Hall 'P 1'
loop_
_atom_site_label
_atom_site_fract_x
_atom_site_fract_y
_atom_site_fract_z
Nb1 0.000 0.000 0.000
Nb2 0.000 0.500 0.250
Nb3 0.500 0.000 0.750
Nb4 0.500 0.500 0.500
Sn1 0.000 0.000 0.500
Sn2 0.000 0.500 0.750
Sn3 0.500 0.000 0.250
Sn4 0.500 0.500 0.000
I1 0.110 0.750 0.125
I2 0.250 0.110 0.875
I3 0.250 0.390 0.375
I4 0.390 0.750 0.625
I5 0.610 0.250 0.625
I6 0.750 0.610 0.375
I7 0.750 0.890 0.875
I8 0.890 0.250 0.125
# formation energy (no corrections)	0.196	eV/atom
# N(E_F)	4.20	states/eV/f.u.
# density	5.4	Mg/m³
# ΔE to the lowest computed polymorph	0	meV/atom

# NbSnI3 (PBE-GGA, relaxed)
data_NbSnI3
_cell_length_a 5.714
_cell_length_b 5.714
_cell_length_c 5.714
_cell_angle_alpha 90.00
_cell_angle_beta 90.00
_cell_angle_gamma 90.00
_space_group_name_H-M_alt 'P 1'
_space_group_IT_number 1
_space_group_name_Hall 'P 1'
loop_
_atom_site_label
_atom_site_fract_x
_atom_site_fract_y
_atom_site_fract_z
Nb1 0.000 0.000 0.000
Sn1 0.500 0.500 0.500
I1 0.000 0.000 0.500
I2 0.000 0.500 0.000
I3 0.500 0.000 0.000
# formation energy (no corrections)	0.244	eV/atom
# N(E_F)	3.61	states/eV/f.u.
# density	5.3	Mg/m³
# ΔE to the lowest computed polymorph	0	meV/atom

# NbSn3I (PBE-GGA, relaxed)
data_NbSn3I
_cell_length_a 5.657
_cell_length_b 5.657
_cell_length_c 5.657
_cell_angle_alpha 90.00
_cell_angle_beta 90.00
_cell_angle_gamma 90.00
_space_group_name_H-M_alt 'P 1'
_space_group_IT_number 1
_space_group_name_Hall 'P 1'
loop_
_atom_site_label
_atom_site_fract_x
_atom_site_fract_y
_atom_site_fract_z
Nb1 0.000 0.000 0.000
Sn1 0.000 0.500 0.500
Sn2 0.500 0.000 0.500
Sn3 0.500 0.500 0.000
I1 0.500 0.500 0.500
# formation energy (no corrections)	1.647	eV/atom
# N(E_F)	5.92	states/eV/f.u.
# density	5.3	Mg/m³
# ΔE to the lowest computed polymorph	1402	meV/atom

# NbSnI2 (PBE-GGA, relaxed)
data_NbSnI2
_cell_length_a 7.395
_cell_length_b 7.395
_cell_length_c 7.395
_cell_angle_alpha 90.00
_cell_angle_beta 90.00
_cell_angle_gamma 90.00
_space_group_name_H-M_alt 'P 1'
_space_group_IT_number 1
_space_group_name_Hall 'P 1'
loop_
_atom_site_label
_atom_site_fract_x
_atom_site_fract_y
_atom_site_fract_z
Nb1 0.000 0.000 0.000
Nb2 0.000 0.500 0.500
Nb3 0.500 0.000 0.500
Nb4 0.500 0.500 0.000
Sn1 0.000 0.000 0.500
Sn2 0.000 0.500 0.000
Sn3 0.500 0.000 0.000
Sn4 0.500 0.500 0.500
I1 0.250 0.250 0.250
I2 0.250 0.250 0.750
I3 0.250 0.750 0.250
I4 0.250 0.750 0.750
I5 0.750 0.250 0.250
I6 0.750 0.250 0.750
I7 0.750 0.750 0.250
I8 0.750 0.750 0.750
# formation energy (no corrections)	0.556	eV/atom
# N(E_F)	3.99	states/eV/f.u.
# density	7.6	Mg/m³
# ΔE to the lowest computed polymorph	361	meV/atom

# NbSnI3 (PBE-GGA, relaxed)
data_NbSnI3
_cell_length_a 6.068
_cell_length_b 6.068
_cell_length_c 6.068
_cell_angle_alpha 90.00
_cell_angle_beta 90.00
_cell_angle_gamma 90.00
_space_group_name_H-M_alt 'P 1'
_space_group_IT_number 1
_space_group_name_Hall 'P 1'
loop_
_atom_site_label
_atom_site_fract_x
_atom_site_fract_y
_atom_site_fract_z
Nb1 0.000 0.000 0.000
Sn1 0.500 0.500 0.500
I1 0.000 0.500 0.500
I2 0.500 0.000 0.500
I3 0.500 0.500 0.000
# formation energy (no corrections)	0.762	eV/atom
# N(E_F)	11.88	states/eV/f.u.
# density	4.4	Mg/m³
# ΔE to the lowest computed polymorph	518	meV/atom

# Nb2SnI2 (PBE-GGA, relaxed)
data_Nb2SnI2
_cell_length_a 8.532
_cell_length_b 8.532
_cell_length_c 3.236
_cell_angle_alpha 90.00
_cell_angle_beta 90.00
_cell_angle_gamma 90.00
_space_group_name_H-M_alt 'P 1'
_space_group_IT_number 1
_space_group_name_Hall 'P 1'
loop_
_atom_site_label
_atom_site_fract_x
_atom_site_fract_y
_atom_site_fract_z
Nb1 0.166 0.334 0.000
Nb2 0.334 0.834 0.000
Nb3 0.666 0.166 0.000
Nb4 0.834 0.666 0.000
Sn1 0.000 0.000 0.500
Sn2 0.500 0.500 0.500
I1 0.136 0.636 0.500
I2 0.364 0.136 0.500
I3 0.636 0.864 0.500
I4 0.864 0.364 0.500
# formation energy (no corrections)	0.761	eV/atom
# N(E_F)	7.13	states/eV/f.u.
# density	7.9	Mg/m³
# ΔE to the lowest computed polymorph	410	meV/atom

# Nb2SnI (PBE-GGA, relaxed)
data_Nb2SnI
_cell_length_a 6.891
_cell_length_b 6.891
_cell_length_c 6.891
_cell_angle_alpha 90.00
_cell_angle_beta 90.00
_cell_angle_gamma 90.00
_space_group_name_H-M_alt 'P 1'
_space_group_IT_number 1
_space_group_name_Hall 'P 1'
loop_
_atom_site_label
_atom_site_fract_x
_atom_site_fract_y
_atom_site_fract_z
Nb1 0.250 0.250 0.250
Nb2 0.250 0.250 0.750
Nb3 0.250 0.750 0.250
Nb4 0.250 0.750 0.750
Nb5 0.750 0.250 0.250
Nb6 0.750 0.250 0.750
Nb7 0.750 0.750 0.250
Nb8 0.750 0.750 0.750
Sn1 0.000 0.000 0.000
Sn2 0.000 0.500 0.500
Sn3 0.500 0.000 0.500
Sn4 0.500 0.500 0.000
I1 0.000 0.000 0.500
I2 0.000 0.500 0.000
I3 0.500 0.000 0.000
I4 0.500 0.500 0.500
# formation energy (no corrections)	0.388	eV/atom
# N(E_F)	6.69	states/eV/f.u.
# density	8.8	Mg/m³
# ΔE to the lowest computed polymorph	0	meV/atom

# Nb2SnI2 (PBE-GGA, relaxed)
data_Nb2SnI2
_cell_length_a 3.846
_cell_length_b 3.846
_cell_length_c 19.997
_cell_angle_alpha 90.00
_cell_angle_beta 90.00
_cell_angle_gamma 90.00
_space_group_name_H-M_alt 'P 1'
_space_group_IT_number 1
_space_group_name_Hall 'P 1'
loop_
_atom_site_label
_atom_site_fract_x
_atom_site_fract_y
_atom_site_fract_z
Nb1 0.000 0.500 0.250
Nb2 0.000 0.500 0.750
Nb3 0.500 0.000 0.250
Nb4 0.500 0.000 0.750
Sn1 0.000 0.000 0.000
Sn2 0.500 0.500 0.500
I1 0.000 0.000 0.361
I2 0.000 0.000 0.639
I3 0.500 0.500 0.139
I4 0.500 0.500 0.861
# formation energy (no corrections)	0.352	eV/atom
# N(E_F)	3.91	states/eV/f.u.
# density	6.3	Mg/m³
# ΔE to the lowest computed polymorph	0	meV/atom

# Nb3SnI (PBE-GGA, relaxed)
data_Nb3SnI
_cell_length_a 5.013
_cell_length_b 5.013
_cell_length_c 5.013
_cell_angle_alpha 90.00
_cell_angle_beta 90.00
_cell_angle_gamma 90.00
_space_group_name_H-M_alt 'P 1'
_space_group_IT_number 1
_space_group_name_Hall 'P 1'
loop_
_atom_site_label
_atom_site_fract_x
_atom_site_fract_y
_atom_site_fract_z
Nb1 0.000 0.000 0.500
Nb2 0.000 0.500 0.000
Nb3 0.500 0.000 0.000
Sn1 0.500 0.500 0.500
I1 0.000 0.000 0.000
# formation energy (no corrections)	1.439	eV/atom
# N(E_F)	3.66	states/eV/f.u.
# density	6.9	Mg/m³
# ΔE to the lowest computed polymorph	0	meV/atom

# NbSnTeI2 (PBE-GGA, relaxed)
data_NbSnTeI2
_cell_length_a 5.643
_cell_length_b 5.643
_cell_length_c 5.527
_cell_angle_alpha 90.00
_cell_angle_beta 90.00
_cell_angle_gamma 90.00
_space_group_name_H-M_alt 'P 1'
_space_group_IT_number 1
_space_group_name_Hall 'P 1'
loop_
_atom_site_label
_atom_site_fract_x
_atom_site_fract_y
_atom_site_fract_z
Nb1 0.000 0.000 0.000
Sn1 0.500 0.500 0.500
Te1 0.000 0.000 0.500
I1 0.000 0.500 0.000
I2 0.500 0.000 0.000
# formation energy (no corrections)	0.217	eV/atom
# N(E_F)	3.76	states/eV/f.u.
# density	5.6	Mg/m³
# ΔE to the lowest computed polymorph	0	meV/atom

# NbSnTe2I (PBE-GGA, relaxed)
data_NbSnTe2I
_cell_length_a 5.484
_cell_length_b 5.484
_cell_length_c 5.607
_cell_angle_alpha 90.00
_cell_angle_beta 90.00
_cell_angle_gamma 90.00
_space_group_name_H-M_alt 'P 1'
_space_group_IT_number 1
_space_group_name_Hall 'P 1'
loop_
_atom_site_label
_atom_site_fract_x
_atom_site_fract_y
_atom_site_fract_z
Nb1 0.000 0.000 0.000
Sn1 0.500 0.500 0.500
Te1 0.000 0.500 0.000
Te2 0.500 0.000 0.000
I1 0.000 0.000 0.500
# formation energy (no corrections)	0.199	eV/atom
# N(E_F)	4.83	states/eV/f.u.
# density	5.8	Mg/m³
# ΔE to the lowest computed polymorph	0	meV/atom